First-principles (PBE) data for Li2PdAu9 after structural relaxation, as listed in Alexandria.

a = 4.067 Å, b = 4.067 Å, c = 12.319 Å
α = 90.00°, β = 90.00°, γ = 90.00°
Fractional positions:
Li  0.000  0.000  0.333
Li  0.000  0.000  0.667
Au  0.000  0.500  0.170
Au  0.500  0.000  0.500
Au  0.000  0.500  0.500
Au  0.000  0.500  0.830
Au  0.500  0.000  0.170
Au  0.500  0.500  0.335
Au  0.500  0.500  0.665
Au  0.500  0.000  0.830
Au  0.500  0.500  0.000
Pd  0.000  0.000  0.000

Properties
* DFT formation energy: -253 meV per atom
* crystal system: tetragonal
* DOS(E_F): 0.46 states/eV per atom
* VASP energy: -41.55 eV for the cell shown